Material: CsBiMo2O8
Method: DFT, SCAN
State: single point on PBEsol structure

Computed properties:
Calculated density   5.59 Mg/m³
E_tot   -521.00 eV per cell
DOS(E_F)   0.000 states/eV per atom
Uncorrected formation energy   -24.49 eV per formula unit

Cell and atoms, written as extended XYZ:
```
24
Lattice="5.130 0.000 0.000 0.000 9.412 0.000 0.000 0.000 8.144" Properties=species:S:1:pos:R:3 pbc="T T T"
Cs 0.000 0.000 2.036
Cs 0.000 0.000 6.108
Bi 0.000 4.706 2.036
Bi 0.000 4.706 6.108
Mo 2.444 2.855 0.000
Mo 2.444 6.557 4.072
Mo 2.686 2.855 4.072
Mo 2.686 6.557 0.000
O 1.333 4.113 4.072
O 1.333 5.299 0.000
O 1.362 2.874 1.414
O 1.362 2.874 6.729
O 1.362 6.538 2.657
O 1.362 6.538 5.486
O 1.932 1.315 4.072
O 1.932 8.097 0.000
O 3.198 1.315 0.000
O 3.198 8.097 4.072
O 3.767 2.874 2.657
O 3.767 2.874 5.486
O 3.767 6.538 1.414
O 3.767 6.538 6.729
O 3.796 4.113 0.000
O 3.796 5.299 4.072
```